PBE-GGA PaPtRh, relaxed; symmetry = Cmcm (63); DOS(E_F) = 0.911 states/eV per atom; energy relative to the elements = -789 meV/atom
1.0
1.881 -4.629 0.000
1.881 4.629 0.000
0.000 0.000 6.956
Pa Pt Rh
2 2 2
direct
0.000 0.000 0.000
0.000 0.000 0.500
0.339 0.661 0.750
0.661 0.339 0.250
0.370 0.630 0.250
0.630 0.370 0.750